(1)
A plane-wave DFT calculation with PBE was carried out for Zr2Al after structural relaxation.

Calculated values
The calculation puts the total energy at -0.2625 Ha/atom. As for the magnetic moment: 0.020 μB per cell.

abc: 5.469 9.603 4.804
angles: 90.00 90.00 90.00
Positions (direct):
Zr 0.521 0.519 0.000
Zr 0.407 0.333 0.500
Zr 0.012 0.333 0.000
Al 0.985 0.659 0.000
Zr 0.312 0.019 0.500
Al 0.848 0.508 0.500
Zr 0.312 0.647 0.500
Al 0.848 0.159 0.500
Zr 0.521 0.147 0.000
Al 0.985 0.008 0.000
Zr 0.426 0.833 0.000
Zr 0.822 0.833 0.500

***

(2)
A plane-wave DFT calculation with PBE was carried out for Zr2Al after structural relaxation.

Calculated values
The calculation puts the total energy at -0.2455 Ha/atom. As for the magnetic moment: 0.123 μB per cell.

abc: 5.709 5.709 18.603
angles: 90.00 90.00 120.00
Positions (direct):
Al 0.000 0.000 0.906
Al 0.000 0.000 0.094
Al 0.667 0.333 0.344
Zr 0.000 0.500 0.000
Zr 0.333 0.667 0.123
Zr 0.333 0.667 0.377
Zr 0.500 0.000 0.500
Zr 0.163 0.326 0.250
Zr 0.500 0.500 0.000
Zr 0.837 0.674 0.750
Zr 0.000 0.500 0.500
Zr 0.163 0.837 0.250
Zr 0.326 0.163 0.750
Al 0.000 0.000 0.594
Zr 0.500 0.000 0.000
Al 0.667 0.333 0.156
Al 0.333 0.667 0.656
Zr 0.500 0.500 0.500
Zr 0.667 0.333 0.623
Al 0.000 0.000 0.406
Al 0.333 0.667 0.844
Zr 0.674 0.837 0.250
Zr 0.837 0.163 0.750
Zr 0.667 0.333 0.877

***

(3)
A plane-wave DFT calculation with PBE was carried out for Zr2Al after structural relaxation.

Calculated values
The calculation puts the total energy at -0.2599 Ha/atom. As for the magnetic moment: 0.016 μB per cell.

abc: 13.418 8.055 5.199
angles: 90.00 90.00 64.28
Positions (direct):
Al 0.994 0.997 0.000
Zr 0.949 0.604 0.500
Al 0.360 0.529 0.500
Zr 0.246 0.757 0.000
Zr 0.673 0.654 0.000
Al 0.754 0.231 0.000
Zr 0.521 0.707 0.500
Zr 0.031 0.187 0.500
Al 0.834 0.832 0.000
Zr 0.417 0.932 0.000
Al 0.863 0.018 0.500
Al 0.331 0.343 0.000
Zr 0.111 0.776 0.500
Zr 0.912 0.411 0.000
Al 0.441 0.130 0.500
Zr 0.584 0.083 0.000
Zr 0.777 0.429 0.500
Zr 0.694 0.865 0.500
Zr 0.500 0.496 0.000
Zr 0.282 0.950 0.500
Al 0.200 0.364 0.500
Zr 0.610 0.278 0.500
Zr 0.083 0.585 0.000
Zr 0.163 0.174 0.000

***

(4)
A plane-wave DFT calculation with PBE was carried out for ZrAl12 after structural relaxation.

Calculated values
The calculation puts the total energy at -0.1529 Ha/atom. As for the magnetic moment: 0.019 μB per cell.

abc: 6.723 6.723 6.723
angles: 109.47 109.47 109.47
Positions (direct):
Al 0.684 0.497 0.813
Al 0.684 0.870 0.187
Al 0.503 0.187 0.316
Al 0.130 0.813 0.316
Al 0.187 0.316 0.503
Al 0.316 0.503 0.187
Al 0.813 0.684 0.497
Al 0.870 0.187 0.684
Al 0.497 0.813 0.684
Al 0.316 0.130 0.813
Zr 0.000 0.000 0.000
Al 0.813 0.316 0.130
Al 0.187 0.684 0.870